A relaxed Pr5Ge2H crystal. Source: the Alexandria database, functional PBE.

Cell lengths 6.6222, 6.6115, 7.0535 Å; angles 57.87, 57.72, 64.42 degrees
Element x y z (fractional)
1 Pr 0.0000 0.0000 0.0000
2 Pr 0.4956 0.9961 0.0039
3 Pr 0.4960 0.9958 0.5040
4 Pr 0.9958 0.4960 0.0042
5 Pr 0.9961 0.4956 0.5044
6 Ge 0.4972 0.4972 0.0028
7 Ge 0.9972 0.9972 0.5028
8 H 0.2732 0.2732 0.7268

Calculated values
- E (eV/atom) = -4.89
- space-group type = No. 42